YZn2Rh: single point on PBEsol structure, meta-GGA SCAN.

Total moment ... 0.0 μB/cell
Energy of formation ... -0.47 eV/atom
Density of states at the Fermi level ... 0.97 states/eV per atom

Cell lengths 4.5296, 4.5296, 4.5296 Å; angles 60.00, 60.00, 60.00 degrees
With the nearest neighbours (Å) after each atom.
Element x y z (fractional)
Zn: 0.7500 0.7500 0.7500  4 Y 2.77, 4 Rh 2.77
Rh: 0.5000 0.5000 0.5000  8 Zn 2.77
Zn: 0.2500 0.2500 0.2500  4 Rh 2.77, 4 Y 2.77
Y: 0.0000 0.0000 0.0000  8 Zn 2.77

***

HfZnSiP2: single point on PBEsol structure, meta-GGA SCAN.

Total moment ... 0.0 μB/cell
Density of states at the Fermi level ... 0.65 states/eV per atom
Formation energy from raw total energies ... 0.618 eV/atom

Cell lengths 4.3428, 4.5375, 4.5375 Å; angles 90.00, 90.00, 90.00 degrees
With the nearest neighbours (Å) after each atom.
Element x y z (fractional)
Si: 0.0000 0.0000 0.0000  2 Zn 2.17, 4 P 2.27
P: 0.0000 0.5000 0.0000  2 Si 2.27
Hf: 0.5000 0.5000 0.5000  8 P 3.14, 4 Zn 3.21
Zn: 0.5000 0.0000 0.0000  2 Si 2.17
P: 0.0000 0.0000 0.5000  2 Si 2.27

***

CuRhCl2: single point on PBEsol structure, meta-GGA SCAN.

Polymorph energy (0 for the lowest one) ... 109 kJ/mol of formula units
Total moment ... 0.0 μB/cell
Density of states at the Fermi level ... 0.76 states/eV per atom
Formation energy from raw total energies ... -0.007 eV/atom

Cell lengths 3.1718, 3.3058, 7.1783 Å; angles 103.31, 102.76, 90.00 degrees
With the nearest neighbours (Å) after each atom.
Element x y z (fractional)
Cu: 0.5517 0.5517 0.1035  4 Cl 2.43, 2 Rh 2.60
Rh: 0.2033 0.7033 0.4065  4 Cl 2.39, 2 Cu 2.60
Cl: 0.7536 0.2536 0.5072  4 Rh 2.39
Cl: 0.9914 0.9914 0.9828  4 Cu 2.43

***

In3TcSe: single point on PBEsol structure, meta-GGA SCAN.

Total moment ... 2.5 μB/cell
Density of states at the Fermi level ... 0.82 states/eV per atom
Formation energy from raw total energies ... 0.437 eV/atom

Cell lengths 5.1426, 5.1426, 5.1426 Å; angles 90.00, 90.00, 90.00 degrees
With the nearest neighbours (Å) after each atom.
Element x y z (fractional)
In: 0.5000 0.0000 0.0000  2 Tc 2.57
In: 0.0000 0.5000 0.0000  2 Tc 2.57
Tc: 0.0000 0.0000 0.0000  6 In 2.57
Se: 0.5000 0.5000 0.5000  12 In 3.64
In: 0.0000 0.0000 0.5000  2 Tc 2.57

***

BeIn2PtCl: single point on PBEsol structure, meta-GGA SCAN.

Total moment ... 0.0 μB/cell
Density of states at the Fermi level ... 0.34 states/eV per atom
Formation energy from raw total energies ... -0.546 eV/atom

Cell lengths 4.2657, 5.1802, 5.1802 Å; angles 90.00, 90.00, 90.00 degrees
With the nearest neighbours (Å) after each atom.
Element x y z (fractional)
Cl: 0.5000 0.5000 0.5000  8 In 3.36, 4 Be 3.66
In: 0.0000 0.0000 0.5000  2 Pt 2.59
In: 0.0000 0.5000 0.0000  2 Pt 2.59
Pt: 0.0000 0.0000 0.0000  2 Be 2.13
Be: 0.5000 0.0000 0.0000  2 Pt 2.13

***

Y3Zr: single point on PBEsol structure, meta-GGA SCAN.

Polymorph energy (0 for the lowest one) ... 15 kJ/mol of formula units
Total moment ... 0.0 μB/cell
Energy of formation ... 0.11 eV/atom
Density of states at the Fermi level ... 1.33 states/eV per atom

Cell lengths 3.3886, 3.3886, 9.7276 Å; angles 90.00, 90.00, 90.00 degrees
With the nearest neighbours (Å) after each atom.
Element x y z (fractional)
Y: 0.0000 0.0000 0.2311  4 Zr 3.29, 8 Y 3.39-3.55
Zr: 0.5000 0.5000 0.0000  8 Y 3.29, 4 Zr 3.39
Y: 0.0000 0.0000 0.7689  4 Zr 3.29, 8 Y 3.39-3.55
Y: 0.5000 0.5000 0.5000  12 Y 3.39-3.55

***

CrPt2Se: single point on PBEsol structure, meta-GGA SCAN.

Total moment ... 3.9 μB/cell
Density of states at the Fermi level ... 0.60 states/eV per atom
Formation energy from raw total energies ... -0.031 eV/atom

Cell lengths 2.8831, 4.6070, 4.6179 Å; angles 90.00, 90.00, 90.00 degrees
With the nearest neighbours (Å) after each atom.
Element x y z (fractional)
Pt: 0.5000 0.5000 0.0000  6 Pt 2.72-2.88, 4 Cr 2.72
Pt: 0.0000 0.0000 0.0000  6 Pt 2.72-2.88, 4 Se 2.72
Se: 0.5000 0.0000 0.5000  4 Cr 2.72, 4 Pt 2.72, 2 Se 2.88
Cr: 0.0000 0.5000 0.5000  4 Se 2.72, 4 Pt 2.72, 2 Cr 2.88

***

Si4SnO10: single point on PBEsol structure, meta-GGA SCAN.

Total moment ... 0.0 μB/cell
Density of states at the Fermi level ... 0.00 states/eV per atom
Formation energy from raw total energies ... -2.582 eV/atom

Cell lengths 7.5099, 7.5099, 15.3747 Å; angles 90.00, 90.00, 90.00 degrees
With the nearest neighbours (Å) after each atom.
Element x y z (fractional)
O: 0.7440 0.0387 0.8707  2 Si 1.62-1.63
Si: 0.3262 0.2394 0.3513  4 O 1.62-1.63
Sn: 0.0000 0.5000 0.4129  4 O 1.96
Si: 0.2394 0.3262 0.1487  4 O 1.62-1.63
Sn: 0.5000 0.0000 0.5871  4 O 1.96
Si: 0.2606 0.8262 0.3513  4 O 1.62-1.63
O: 0.0387 0.2560 0.1293  2 Si 1.62-1.63
O: 0.7560 0.5387 0.6293  2 Si 1.62-1.63
Si: 0.7394 0.1738 0.3513  4 O 1.62-1.63
Si: 0.6738 0.2394 0.8513  4 O 1.62-1.63
O: 0.2560 0.0387 0.3707  2 Si 1.62-1.63
O: 0.2440 0.4613 0.6293  2 Si 1.62-1.63
O: 0.6132 0.2348 0.5864  1 Si 1.62
O: 0.0387 0.7440 0.6293  2 Si 1.62-1.63
Si: 0.1738 0.2606 0.6487  4 O 1.62-1.63
O: 0.2560 0.9613 0.8707  2 Si 1.62-1.63
O: 0.7870 0.7870 0.7500  2 Si 1.62
O: 0.1132 0.2652 0.9136  1 Si 1.62
Sn: 0.0000 0.5000 0.9129  4 O 1.96
O: 0.2348 0.6132 0.9136  1 Si 1.62
O: 0.2440 0.5387 0.1293  2 Si 1.62-1.63
Si: 0.6738 0.7606 0.3513  4 O 1.62-1.63
Si: 0.8262 0.7394 0.6487  4 O 1.62-1.63
Si: 0.7606 0.3262 0.6487  4 O 1.62-1.63
O: 0.4613 0.2440 0.8707  2 Si 1.62-1.63
O: 0.7348 0.1132 0.0864  1 Si 1.62
O: 0.8868 0.7348 0.9136  1 Si 1.62
Si: 0.1738 0.7394 0.1487  4 O 1.62-1.63
O: 0.7652 0.6132 0.4136  1 Si 1.62
Si: 0.2394 0.6738 0.6487  4 O 1.62-1.63
O: 0.2348 0.3869 0.4136  1 Si 1.62
O: 0.6132 0.7652 0.0864  1 Si 1.62
O: 0.4613 0.7560 0.3707  2 Si 1.62-1.63
O: 0.2870 0.7130 0.7500  2 Si 1.62
Sn: 0.5000 0.0000 0.0871  4 O 1.96
O: 0.9613 0.7440 0.1293  2 Si 1.62-1.63
Si: 0.7606 0.6738 0.1487  4 O 1.62-1.63
O: 0.7560 0.4613 0.1293  2 Si 1.62-1.63
O: 0.2870 0.2870 0.2500  2 Si 1.62
O: 0.3869 0.7652 0.5864  1 Si 1.62
O: 0.7130 0.2870 0.7500  2 Si 1.62
O: 0.8868 0.2652 0.4136  1 Si 1.62
Si: 0.2606 0.1738 0.8513  4 O 1.62-1.63
O: 0.2652 0.8868 0.0864  1 Si 1.62
O: 0.2130 0.7870 0.2500  2 Si 1.62
Si: 0.7394 0.8262 0.8513  4 O 1.62-1.63
O: 0.7440 0.9613 0.3707  2 Si 1.62-1.63
O: 0.7348 0.8868 0.5864  1 Si 1.62
O: 0.2652 0.1132 0.5864  1 Si 1.62
O: 0.1132 0.7348 0.4136  1 Si 1.62
O: 0.9613 0.2560 0.6293  2 Si 1.62-1.63
O: 0.7652 0.3869 0.9136  1 Si 1.62
Si: 0.3262 0.7606 0.8513  4 O 1.62-1.63
O: 0.7130 0.7130 0.2500  2 Si 1.62
O: 0.7870 0.2130 0.2500  2 Si 1.62
O: 0.5387 0.7560 0.8707  2 Si 1.62-1.63
O: 0.5387 0.2440 0.3707  2 Si 1.62-1.63
O: 0.3869 0.2348 0.0864  1 Si 1.62
Si: 0.8262 0.2606 0.1487  4 O 1.62-1.63
O: 0.2130 0.2130 0.7500  2 Si 1.62

***

Li3HO: single point on PBEsol structure, meta-GGA SCAN.

Total moment ... 0.0 μB/cell
Density of states at the Fermi level ... 0.00 states/eV per atom

Cell lengths 3.6984, 3.6984, 3.6984 Å; angles 90.00, 90.00, 90.00 degrees
With the nearest neighbours (Å) after each atom.
Element x y z (fractional)
O: 0.0000 0.0000 0.0000  6 Li 1.85
Li: 0.0000 0.0000 0.5000  2 O 1.85
Li: 0.0000 0.5000 0.0000  2 O 1.85
H: 0.5000 0.5000 0.5000  12 Li 2.62
Li: 0.5000 0.0000 0.0000  2 O 1.85

***

BaCa2Os: single point on PBEsol structure, meta-GGA SCAN.

Polymorph energy (0 for the lowest one) ... 0 kJ/mol of formula units
Total moment ... 0.9 μB/cell
Energy of formation ... 0.44 eV/atom
Density of states at the Fermi level ... 1.37 states/eV per atom

Cell lengths 3.4671, 3.4671, 10.2556 Å; angles 90.00, 90.00, 90.00 degrees
With the nearest neighbours (Å) after each atom.
Element x y z (fractional)
Ca: 0.0000 0.0000 0.1590  4 Os 2.94, 1 Ca 3.26
Ca: 0.0000 0.0000 0.8410  4 Os 2.94, 1 Ca 3.26
Os: 0.5000 0.5000 0.0000  8 Ca 2.94
Ba: 0.5000 0.5000 0.5000  4 Ba 3.47

***

SiSbS2N: single point on PBEsol structure, meta-GGA SCAN.

Total moment ... 0.0 μB/cell
Density of states at the Fermi level ... 0.31 states/eV per atom
Formation energy from raw total energies ... 1.022 eV/atom

Cell lengths 3.8439, 4.9986, 4.9986 Å; angles 90.00, 90.00, 90.00 degrees
With the nearest neighbours (Å) after each atom.
Element x y z (fractional)
Si: 0.5000 0.5000 0.5000  8 S 3.15
S: 0.0000 0.0000 0.5000  2 Sb 2.50
Sb: 0.0000 0.0000 0.0000  2 N 1.92
S: 0.0000 0.5000 0.0000  2 Sb 2.50
N: 0.5000 0.0000 0.0000  2 Sb 1.92

***

Sr2H2Se: single point on PBEsol structure, meta-GGA SCAN.

Total moment ... 0.0 μB/cell
Density of states at the Fermi level ... 0.00 states/eV per atom

Cell lengths 3.9102, 3.9102, 6.9243 Å; angles 106.40, 106.40, 90.00 degrees
With the nearest neighbours (Å) after each atom.
Element x y z (fractional)
H: 0.7500 0.2500 0.5000  4 Sr 2.42
Sr: 0.3622 0.3622 0.7244  4 H 2.42
Se: 0.0000 0.0000 0.0000  8 Sr 3.27
H: 0.2500 0.7500 0.5000  4 Sr 2.42
Sr: 0.6378 0.6378 0.2756  4 H 2.42

***

no.,E_tot (eV/atom)
1,-22.63
2,-20.78
3,-16.24
4,-30.62
5,-30.41
6,-28.44
7,-44.74
8,-11.80
9,-4.65
10,-32.25
11,-14.14
12,-15.59